Compound: CaRhI
Source: the Alexandria database
Functional: PBE-GGA
Structure: optimized geometry

The density of states at the Fermi level is 0.950 states/eV/f.u. As for the final energy: -3.903 eV/atom. The magnetization comes out at 0.0 μB/f.u. Its formation energy without anion corrections is -0.268 eV/atom.

Geometry as POSCAR:
```
CaRhI
1.0
6.4589 0.0000 0.0000
0.0000 7.3259 0.0000
0.0000 0.0000 6.2198
I Ca Rh
4 4 4
Direct
0.0000 0.0000 0.0000
0.5000 0.5000 0.5000
0.5000 0.0000 0.5000
0.0000 0.5000 0.0000
0.6045 0.2500 0.9033
0.8955 0.7500 0.4033
0.3955 0.7500 0.0967
0.1045 0.2500 0.5967
0.2786 0.2500 0.1810
0.2214 0.7500 0.6810
0.7214 0.7500 0.8190
0.7786 0.2500 0.3190
```

Compound: CaRh3I
Source: the Alexandria database
Functional: PBE-GGA
Structure: optimized geometry

The density of states at the Fermi level is 6.306 states/eV/f.u. The value obtained for the distance to the lowest polymorph of the same formula is 0.0 kJ/mol of atoms. As for the final energy: -4.690 eV/atom. The magnetization comes out at 0.0 μB/f.u. Its formation energy without anion corrections is 0.431 eV/atom.

Geometry as POSCAR:
```
CaRh3I
1.0
-4.8090 0.7850 -0.2965
0.2549 -0.2768 -4.8671
-0.7994 -4.8102 0.2316
I Ca Rh
1 1 3
Direct
0.0000 0.0000 0.0000
0.5000 0.5000 0.5000
0.0000 0.5000 0.0000
0.0000 0.0000 0.5000
0.5000 0.0000 0.0000
```

Compound: CaRhI
Source: the Alexandria database
Functional: PBE-GGA
Structure: optimized geometry

The density of states at the Fermi level is 0.000 states/eV/f.u. As for the final energy: -4.237 eV/atom. The magnetization comes out at 0.0 μB/f.u. Its formation energy without anion corrections is -0.602 eV/atom.

Geometry as POSCAR:
```
CaRhI
1.0
5.5436 0.0035 0.0013
1.4408 3.7348 0.0015
1.9362 1.3777 8.0671
I Ca Rh
2 2 2
Direct
0.8329 0.8231 0.4621
0.2915 0.4091 0.8264
0.3901 0.1600 0.2295
0.7151 0.6672 0.8876
0.0227 0.9408 0.0340
0.8294 0.4365 0.2375
```

Compound: Ca2RhI
Source: the Alexandria database
Functional: PBE-GGA
Structure: optimized geometry

The density of states at the Fermi level is 0.000 states/eV/f.u. The value obtained for the distance to the lowest polymorph of the same formula is 27.1 kJ/mol of atoms. As for the final energy: -3.668 eV/atom. The magnetization comes out at 0.0 μB/f.u. Its formation energy without anion corrections is -0.441 eV/atom.

Geometry as POSCAR:
```
Ca2RhI
1.0
3.4082 -1.1448 3.8064
-1.5172 -2.8986 4.0879
1.7743 -4.8965 0.5398
I Ca Rh
1 2 1
Direct
0.5000 0.5000 0.5000
0.2500 0.2500 0.2500
0.7500 0.7500 0.7500
0.0000 0.0000 0.0000
```